Record 1
Below is CuHgS2 after structural relaxation, with properties calculated at the GGA-PBE level.

a b c (Å): 3.8805 3.8805 6.6569
angles (deg): 90.00 90.00 120.00
Closest atoms and distances in Å follow each position.
Element x y z (fractional)
Cu  0.0000  0.0000  0.9932  4 S 2.28-2.33
Hg  0.3333  0.6667  0.5233  4 S 2.50-2.57
S  0.0000  0.0000  0.3350  1 Cu 2.28
S  0.3333  0.6667  0.8985  3 Cu 2.33, 1 Hg 2.50

Calculated values
Its calculated total energy is -0.232 Ry per atom.

Record 2
Below is ScCuHgS3 after structural relaxation, with properties calculated at the GGA-PBE level.

a b c (Å): 6.5065 6.5065 10.0414
angles (deg): 90.00 90.00 147.13
Closest atoms and distances in Å follow each position.
Element x y z (fractional)
S  0.3656  0.6344  0.5628  1 Cu 2.27
S  0.6344  0.3656  0.0628  1 Cu 2.27
S  0.0887  0.9113  0.7500  2 Cu 2.38
S  0.6344  0.3656  0.4372  1 Cu 2.27
S  0.3656  0.6344  0.9372  1 Cu 2.27
S  0.9113  0.0887  0.2500  2 Cu 2.38
Sc  0.0000  0.0000  0.5000  6 S 2.57-2.74
Sc  0.0000  0.0000  0.0000  6 S 2.57-2.74
Hg  0.7554  0.2446  0.7500  6 S 2.78-2.97
Hg  0.2446  0.7554  0.2500  6 S 2.78-2.97
Cu  0.4676  0.5324  0.7500  4 S 2.27-2.38
Cu  0.5324  0.4676  0.2500  4 S 2.27-2.38

Calculated values
Its calculated total energy is -0.333 Ry per atom. Its magnetic moment is 0.00 μB per formula unit.

Record 3
Below is Cu2SiHgSe2S2 after structural relaxation, with properties calculated at the GGA-PBE level.

a b c (Å): 6.6641 6.6577 5.6588
angles (deg): 64.92 64.80 50.27
Closest atoms and distances in Å follow each position.
Element x y z (fractional)
Cu  0.2389  0.2389  0.2611  2 S 2.31, 2 Se 2.45
Cu  0.7389  0.7389  0.7611  2 S 2.31, 2 Se 2.45
Se  0.1501  0.5893  0.4107  1 Si 2.32, 2 Cu 2.45
Se  0.5893  0.1501  0.8499  1 Si 2.32, 2 Cu 2.45
S  0.4189  0.8504  0.5811  1 Si 2.17, 2 Cu 2.31
S  0.8504  0.4189  0.1496  1 Si 2.17, 2 Cu 2.31
Si  0.5114  0.5114  0.4886  2 S 2.17, 2 Se 2.32
Hg  0.0021  0.0021  0.9979  2 Se 2.65, 2 S 2.67

Calculated values
The distance to the lowest polymorph of the same formula is 3 meV/atom. Its calculated total energy is -0.285 Ry per atom.

Record 4
Below is Cu2SiHgSe2S2 after structural relaxation, with properties calculated at the GGA-PBE level.

a b c (Å): 6.6158 6.6158 5.6687
angles (deg): 114.35 114.35 50.58
Closest atoms and distances in Å follow each position.
Element x y z (fractional)
Se  0.8527  0.4188  0.8551  1 Si 2.32, 2 Cu 2.45-2.46
Se  0.5812  0.1473  0.1449  1 Si 2.32, 2 Cu 2.45-2.46
Hg  0.0099  0.9901  0.0000  2 S 2.62, 2 Se 2.70
S  0.1506  0.5910  0.5881  1 Si 2.17, 2 Cu 2.30
S  0.4090  0.8494  0.4119  1 Si 2.17, 2 Cu 2.30
Cu  0.7548  0.7449  0.2774  2 S 2.30, 2 Se 2.45-2.46
Cu  0.2551  0.2452  0.7226  2 S 2.30, 2 Se 2.45-2.46
Si  0.4868  0.5132  0.5000  2 S 2.17, 2 Se 2.32

Calculated values
The distance to the lowest polymorph of the same formula is 0 meV/atom. Its calculated total energy is -0.286 Ry per atom.

Record 5
Below is Cu2SnHgSeS3 after structural relaxation, with properties calculated at the GGA-PBE level.

a b c (Å): 5.6933 5.6933 6.8599
angles (deg): 114.27 114.27 89.99
Closest atoms and distances in Å follow each position.
Element x y z (fractional)
Sn  0.5091  0.5091  0.0072  3 S 2.48, 1 Se 2.59
Cu  0.2575  0.7305  0.4898  3 S 2.30-2.32, 1 Se 2.46
Cu  0.7305  0.2575  0.4898  3 S 2.30-2.32, 1 Se 2.46
S  0.8837  0.4038  0.2860  2 Cu 2.32, 1 Sn 2.48
S  0.4038  0.8837  0.2860  2 Cu 2.32, 1 Sn 2.48
S  0.6027  0.6027  0.7212  2 Cu 2.30, 1 Sn 2.48
Se  0.1151  0.1151  0.7135  2 Cu 2.46, 1 Sn 2.59, 1 Hg 2.67
Hg  0.9977  0.9977  0.0065  3 S 2.59-2.61, 1 Se 2.67

Calculated values
Its calculated total energy is -0.275 Ry per atom.

Record 6
Below is Cu2SiHgTe3S after structural relaxation, with properties calculated at the GGA-PBE level.

a b c (Å): 6.0427 6.0427 7.0900
angles (deg): 114.32 114.32 90.26
Closest atoms and distances in Å follow each position.
Element x y z (fractional)
Te  0.5927  0.1414  0.7324  1 Si 2.57, 2 Cu 2.59-2.60, 1 Hg 2.82
Te  0.1414  0.5927  0.7324  1 Si 2.57, 2 Cu 2.59-2.60, 1 Hg 2.82
Te  0.8652  0.8652  0.2867  1 Si 2.58, 2 Cu 2.63
Si  0.4929  0.4929  0.0246  1 S 2.19
S  0.4054  0.4054  0.2597  1 Si 2.19, 2 Cu 2.31
Cu  0.7216  0.2721  0.4803  1 S 2.31
Cu  0.2721  0.7216  0.4803  1 S 2.31
Hg  0.0087  0.0087  0.0037  1 S 2.75, 3 Te 2.82-2.90

Calculated values
Its calculated total energy is -0.257 Ry per atom.

Record 7
Below is Cu2SiHgTe2S2 after structural relaxation, with properties calculated at the GGA-PBE level.

a b c (Å): 6.9297 6.9189 5.8957
angles (deg): 64.90 64.71 50.39
Closest atoms and distances in Å follow each position.
Element x y z (fractional)
S  0.4237  0.8512  0.5763  1 Si 2.17, 2 Cu 2.35
S  0.8512  0.4237  0.1488  1 Si 2.17, 2 Cu 2.35
Cu  0.2300  0.2300  0.2700  2 S 2.35, 2 Te 2.59
Cu  0.7300  0.7300  0.7700  2 S 2.35, 2 Te 2.59
Te  0.1460  0.5906  0.4094  1 Si 2.54, 2 Cu 2.59, 1 Hg 2.76
Te  0.5906  0.1460  0.8540  1 Si 2.54, 2 Cu 2.59, 1 Hg 2.76
Si  0.5247  0.5247  0.4753  2 S 2.17
Hg  0.0038  0.0038  0.9962  2 Te 2.76, 2 S 2.80

Calculated values
The distance to the lowest polymorph of the same formula is 14 meV/atom. Its calculated total energy is -0.270 Ry per atom.

Record 8
Below is Cu2SiHgTe2S2 after structural relaxation, with properties calculated at the GGA-PBE level.

a b c (Å): 6.8456 6.8456 5.8609
angles (deg): 113.43 113.43 50.66
Closest atoms and distances in Å follow each position.
Element x y z (fractional)
Cu  0.7591  0.7391  0.2984  2 S 2.32
Cu  0.2609  0.2409  0.7016  2 S 2.32
Hg  0.0225  0.9775  0.0000  2 S 2.67, 2 Te 2.83
Si  0.4655  0.5345  0.5000  2 S 2.19
S  0.1470  0.5967  0.5912  1 Si 2.19, 2 Cu 2.32
S  0.4033  0.8530  0.4088  1 Si 2.19, 2 Cu 2.32
Te  0.8612  0.4195  0.8627  1 Si 2.55, 2 Cu 2.60-2.61, 1 Hg 2.83
Te  0.5805  0.1388  0.1373  1 Si 2.55, 2 Cu 2.60-2.61, 1 Hg 2.83

Calculated values
The distance to the lowest polymorph of the same formula is 0 meV/atom. Its calculated total energy is -0.271 Ry per atom.

Record 9
Below is CuSnHg2S4 after structural relaxation, with properties calculated at the GGA-PBE level.

a b c (Å): 7.1313 7.1313 7.1313
angles (deg): 131.49 131.49 71.04
Closest atoms and distances in Å follow each position.
Element x y z (fractional)
S  0.1118  0.1118  0.4544  1 Cu 2.31
S  0.8882  0.3426  0.0000  1 Cu 2.31
S  0.3426  0.8882  0.0000  1 Cu 2.31
S  0.6574  0.6574  0.5456  1 Cu 2.31
Hg  0.7500  0.2500  0.5000  4 S 2.60
Hg  0.2500  0.7500  0.5000  4 S 2.60
Sn  0.5000  0.5000  0.0000  4 S 2.63
Cu  0.0000  0.0000  0.0000  4 S 2.31

Calculated values
Its calculated total energy is -0.242 Ry per atom.

Record 10
Below is YCuHgS3 after structural relaxation, with properties calculated at the GGA-PBE level.

a b c (Å): 6.4884 6.4884 10.5104
angles (deg): 90.00 90.00 145.55
Closest atoms and distances in Å follow each position.
Element x y z (fractional)
Hg  0.7450  0.2550  0.7500  6 S 2.79-2.95
Hg  0.2550  0.7450  0.2500  6 S 2.79-2.95
S  0.8591  0.1409  0.0766  1 Cu 2.29
S  0.4086  0.5914  0.7500  2 Cu 2.43
S  0.5914  0.4086  0.2500  2 Cu 2.43
S  0.8591  0.1409  0.4234  1 Cu 2.29
S  0.1409  0.8591  0.5766  1 Cu 2.29
S  0.1409  0.8591  0.9234  1 Cu 2.29
Cu  0.9714  0.0286  0.2500  4 S 2.29-2.43
Cu  0.0286  0.9714  0.7500  4 S 2.29-2.43
Y  0.5000  0.5000  0.5000  6 S 2.72-2.86
Y  0.5000  0.5000  0.0000  6 S 2.72-2.86

Calculated values
Its calculated total energy is -0.340 Ry per atom. Its magnetic moment is 0.00 μB per formula unit.

Record 11
Below is CuTcHgSb after structural relaxation, with properties calculated at the GGA-PBE level.

a b c (Å): 4.7454 4.7454 4.7454
angles (deg): 60.00 60.00 60.00
Closest atoms and distances in Å follow each position.
Element x y z (fractional)
Sb  0.0000  0.0000  0.0000  4 Cu 2.91, 4 Hg 2.91
Hg  0.2500  0.2500  0.2500  4 Tc 2.91, 4 Sb 2.91
Cu  0.7500  0.7500  0.7500  4 Sb 2.91, 4 Tc 2.91
Tc  0.5000  0.5000  0.5000  4 Hg 2.91, 4 Cu 2.91

Calculated values
The distance to the lowest polymorph of the same formula is 341 meV/atom. Its calculated total energy is -0.280 Ry per atom. Its magnetic moment is 2.05 μB per formula unit.

Record 12
Below is CuTcHgSb after structural relaxation, with properties calculated at the GGA-PBE level.

a b c (Å): 4.6427 4.6427 4.6427
angles (deg): 60.00 60.00 60.00
Closest atoms and distances in Å follow each position.
Element x y z (fractional)
Tc  0.2500  0.2500  0.2500  4 Sb 2.84, 4 Hg 2.84
Hg  0.5000  0.5000  0.5000  4 Cu 2.84, 4 Tc 2.84
Cu  0.7500  0.7500  0.7500  4 Hg 2.84, 4 Sb 2.84
Sb  0.0000  0.0000  0.0000  4 Tc 2.84, 4 Cu 2.84

Calculated values
The distance to the lowest polymorph of the same formula is 0 meV/atom. Its calculated total energy is -0.305 Ry per atom. Its magnetic moment is 0.00 μB per formula unit.

Record 13
Below is CuHgSbW after structural relaxation, with properties calculated at the GGA-PBE level.

a b c (Å): 4.6973 4.6973 4.6973
angles (deg): 60.00 60.00 60.00
Closest atoms and distances in Å follow each position.
Element x y z (fractional)
Hg  0.5000  0.5000  0.5000  4 W 2.88, 4 Cu 2.88
W  0.2500  0.2500  0.2500  4 Hg 2.88, 4 Sb 2.88
Cu  0.7500  0.7500  0.7500  4 Sb 2.88, 4 Hg 2.88
Sb  0.0000  0.0000  0.0000  4 Cu 2.88, 4 W 2.88

Calculated values
The distance to the lowest polymorph of the same formula is 0 meV/atom. Its calculated total energy is -0.331 Ry per atom. Its magnetic moment is 0.01 μB per formula unit.

Record 14
Below is CuHgSbW after structural relaxation, with properties calculated at the GGA-PBE level.

a b c (Å): 4.8112 4.8112 4.8112
angles (deg): 60.00 60.00 60.00
Closest atoms and distances in Å follow each position.
Element x y z (fractional)
Cu  0.7500  0.7500  0.7500  4 W 2.95, 4 Sb 2.95
Sb  0.0000  0.0000  0.0000  4 Hg 2.95, 4 Cu 2.95
W  0.5000  0.5000  0.5000  4 Hg 2.95, 4 Cu 2.95
Hg  0.2500  0.2500  0.2500  4 W 2.95, 4 Sb 2.95

Calculated values
The distance to the lowest polymorph of the same formula is 350 meV/atom. Its calculated total energy is -0.305 Ry per atom. Its magnetic moment is 2.62 μB per formula unit.

Record 15
Below is ZrCuHgSb after structural relaxation, with properties calculated at the GGA-PBE level.

a b c (Å): 4.8916 4.8916 4.8916
angles (deg): 60.00 60.00 60.00
Closest atoms and distances in Å follow each position.
Element x y z (fractional)
Zr  0.2500  0.2500  0.2500  4 Sb 3.00, 4 Hg 3.00
Hg  0.5000  0.5000  0.5000  4 Zr 3.00, 4 Cu 3.00
Sb  0.0000  0.0000  0.0000  4 Zr 3.00, 4 Cu 3.00
Cu  0.7500  0.7500  0.7500  4 Sb 3.00, 4 Hg 3.00

Calculated values
The distance to the lowest polymorph of the same formula is 0 meV/atom. Its calculated total energy is -0.301 Ry per atom. Its magnetic moment is 0.48 μB per formula unit.

Record 16
Below is ZrCuHgSb after structural relaxation, with properties calculated at the GGA-PBE level.

a b c (Å): 4.9164 4.9164 4.9164
angles (deg): 60.00 60.00 60.00
Closest atoms and distances in Å follow each position.
Element x y z (fractional)
Cu  0.7500  0.7500  0.7500  4 Sb 3.01, 4 Zr 3.01
Sb  0.0000  0.0000  0.0000  4 Cu 3.01, 4 Hg 3.01
Hg  0.2500  0.2500  0.2500  4 Zr 3.01, 4 Sb 3.01
Zr  0.5000  0.5000  0.5000  4 Hg 3.01, 4 Cu 3.01

Calculated values
The distance to the lowest polymorph of the same formula is 158 meV/atom. Its calculated total energy is -0.289 Ry per atom. Its magnetic moment is 0.00 μB per formula unit.

Record 17
Below is Sc2CuHg2 after structural relaxation, with properties calculated at the GGA-PBE level.

a b c (Å): 7.1058 7.1058 7.1058
angles (deg): 145.02 145.02 50.31
Closest atoms and distances in Å follow each position.
Element x y z (fractional)
Hg  0.3974  0.3974  0.0000  1 Hg 2.64, 4 Sc 2.86
Hg  0.6026  0.6026  0.0000  1 Hg 2.64, 4 Sc 2.86
Cu  0.0000  0.0000  0.0000  8 Hg 3.30
Sc  0.7500  0.2500  0.5000  4 Hg 2.86, 4 Sc 3.02
Sc  0.2500  0.7500  0.5000  4 Hg 2.86, 4 Sc 3.02

Calculated values
The distance to the lowest polymorph of the same formula is 8 meV/atom. For the calculated formation energy, the calculation gives 28.1 kJ per mole of atoms. Its calculated total energy is -0.228 Ry per atom. Its magnetic moment is 0.86 μB per formula unit.

Record 18
Below is ScCuHg2 after structural relaxation, with properties calculated at the GGA-PBE level.

a b c (Å): 4.7666 4.7666 4.7666
angles (deg): 60.00 60.00 60.00
Closest atoms and distances in Å follow each position.
Element x y z (fractional)
Cu  0.2500  0.2500  0.2500  4 Hg 2.92, 4 Sc 2.92
Sc  0.0000  0.0000  0.0000  4 Cu 2.92, 4 Hg 2.92
Hg  0.5000  0.5000  0.5000  4 Cu 2.92, 4 Hg 2.92
Hg  0.7500  0.7500  0.7500  4 Sc 2.92, 4 Hg 2.92

Calculated values
For the calculated formation energy, the calculation gives -13.9 kJ per mole of atoms. Its calculated total energy is -0.206 Ry per atom. Its magnetic moment is 0.00 μB per formula unit.

Record 19
Below is ScCu2Hg after structural relaxation, with properties calculated at the GGA-PBE level.

a b c (Å): 4.5378 4.5378 4.5378
angles (deg): 60.00 60.00 60.00
Closest atoms and distances in Å follow each position.
Element x y z (fractional)
Cu  0.2500  0.2500  0.2500  4 Cu 2.78, 4 Sc 2.78
Cu  0.5000  0.5000  0.5000  4 Hg 2.78, 4 Cu 2.78
Sc  0.0000  0.0000  0.0000  4 Hg 2.78, 4 Cu 2.78
Hg  0.7500  0.7500  0.7500  4 Sc 2.78, 4 Cu 2.78

Calculated values
For the calculated formation energy, the calculation gives -12.2 kJ per mole of atoms. Its calculated total energy is -0.268 Ry per atom. Its magnetic moment is 0.00 μB per formula unit.

Record 20
Below is Sc2CuHg2 after structural relaxation, with properties calculated at the GGA-PBE level.

a b c (Å): 7.3482 7.3482 7.3482
angles (deg): 147.79 147.79 46.19
Closest atoms and distances in Å follow each position.
Element x y z (fractional)
Cu  0.0000  0.0000  0.0000  8 Sc 3.17
Hg  0.7500  0.2500  0.5000  4 Hg 2.88, 4 Sc 2.90
Hg  0.2500  0.7500  0.5000  4 Hg 2.88, 4 Sc 2.90
Sc  0.4029  0.4029  0.0000  1 Sc 2.62, 4 Hg 2.90
Sc  0.5971  0.5971  0.0000  1 Sc 2.62, 4 Hg 2.90

Calculated values
The distance to the lowest polymorph of the same formula is 0 meV/atom. For the calculated formation energy, the calculation gives 27.3 kJ per mole of atoms. Its calculated total energy is -0.229 Ry per atom. Its magnetic moment is 0.88 μB per formula unit.